[1]
This record from Alexandria via LeMat-Bulk describes LiCuW2 at its PBEsol-relaxed geometry. The functional is SCAN.

## Properties
E above lowest polymorph: 2.65 kcal/mol of atoms
Calculated formation energy: 2.2 eV per formula unit
Spin magnetization: 0.00 μB per atom

```
data_LiCuW2
_chemical_formula_sum 'Li1 Cu1 W2'
_cell_length_a 2.566
_cell_length_b 2.566
_cell_length_c 8.675
_cell_angle_alpha 90.00
_cell_angle_beta 90.00
_cell_angle_gamma 90.00
_symmetry_space_group_name_H-M 'P 4/m m m'
_symmetry_Int_Tables_number 123
_symmetry_space_group_name_Hall '-P 4 2'
loop_
_atom_site_label
_atom_site_fract_x
_atom_site_fract_y
_atom_site_fract_z
Li1 0.000 0.000 0.000
Cu1 0.000 0.000 0.500
W1 0.500 0.500 0.263
```

=====

[2]
This record from Alexandria via LeMat-Bulk describes Tb2S3 at its PBEsol-relaxed geometry. The functional is SCAN.

## Properties
Formation energy without anion corrections: -2327 meV per atom
Spin magnetization: 0.00 μB per atom

```
data_Tb2S3
_chemical_formula_sum 'Tb32 S48'
_cell_length_a 8.210
_cell_length_b 8.210
_cell_length_c 24.599
_cell_angle_alpha 90.00
_cell_angle_beta 90.00
_cell_angle_gamma 90.00
_symmetry_space_group_name_H-M 'I -4 2 d'
_symmetry_Int_Tables_number 122
_symmetry_space_group_name_Hall 'I -4 2bw'
loop_
_atom_site_label
_atom_site_fract_x
_atom_site_fract_y
_atom_site_fract_z
Tb1 0.000 0.000 0.166
Tb2 0.119 0.250 0.625
Tb3 0.136 0.242 0.289
S1 0.071 0.176 0.067
S2 0.073 0.181 0.396
S3 0.080 0.172 0.734
```

=====

[3]
This record from Alexandria via LeMat-Bulk describes Zn2CdAu at its PBEsol-relaxed geometry. The functional is SCAN.

## Properties
E above lowest polymorph: 0.29 kcal/mol of atoms
Calculated formation energy: -0.4 eV per formula unit
Spin magnetization: 0.00 μB per atom

```
data_Zn2CdAu
_chemical_formula_sum 'Zn2 Cd1 Au1'
_cell_length_a 4.066
_cell_length_b 4.066
_cell_length_c 3.901
_cell_angle_alpha 90.00
_cell_angle_beta 90.00
_cell_angle_gamma 90.00
_symmetry_space_group_name_H-M 'P 4/m m m'
_symmetry_Int_Tables_number 123
_symmetry_space_group_name_Hall '-P 4 2'
loop_
_atom_site_label
_atom_site_fract_x
_atom_site_fract_y
_atom_site_fract_z
Zn1 0.000 0.500 0.000
Cd1 0.000 0.000 0.500
Au1 0.500 0.500 0.500
```

=====

[4]
This record from Alexandria via LeMat-Bulk describes NbReGe3 at its PBEsol-relaxed geometry. The functional is SCAN.

## Properties
Calculated formation energy: 7.9 eV per formula unit
Spin magnetization: 1.16 μB per atom

```
data_NbReGe3
_chemical_formula_sum 'Nb1 Re1 Ge3'
_cell_length_a 4.902
_cell_length_b 4.902
_cell_length_c 4.902
_cell_angle_alpha 90.00
_cell_angle_beta 90.00
_cell_angle_gamma 90.00
_symmetry_space_group_name_H-M 'P m -3 m'
_symmetry_Int_Tables_number 221
_symmetry_space_group_name_Hall '-P 4 2 3'
loop_
_atom_site_label
_atom_site_fract_x
_atom_site_fract_y
_atom_site_fract_z
Nb1 0.000 0.000 0.000
Re1 0.500 0.500 0.500
Ge1 0.000 0.000 0.500
```

=====

What is the formula in the third record?
Zn2CdAu

=====

Please write out number 2 again, unchanged.
This record from Alexandria via LeMat-Bulk describes Tb2S3 at its PBEsol-relaxed geometry. The functional is SCAN.

## Properties
Formation energy without anion corrections: -2327 meV per atom
Spin magnetization: 0.00 μB per atom

```
data_Tb2S3
_chemical_formula_sum 'Tb32 S48'
_cell_length_a 8.210
_cell_length_b 8.210
_cell_length_c 24.599
_cell_angle_alpha 90.00
_cell_angle_beta 90.00
_cell_angle_gamma 90.00
_symmetry_space_group_name_H-M 'I -4 2 d'
_symmetry_Int_Tables_number 122
_symmetry_space_group_name_Hall 'I -4 2bw'
loop_
_atom_site_label
_atom_site_fract_x
_atom_site_fract_y
_atom_site_fract_z
Tb1 0.000 0.000 0.166
Tb2 0.119 0.250 0.625
Tb3 0.136 0.242 0.289
S1 0.071 0.176 0.067
S2 0.073 0.181 0.396
S3 0.080 0.172 0.734
```